Entry 1:
# CsRb3Y PBE-GGA relaxed
data_CsRb3Y
_chemical_formula_sum 'Cs1 Rb3 Y1'
_cell_length_a 7.9339
_cell_length_b 7.9339
_cell_length_c 7.9339
_cell_angle_alpha 90.00
_cell_angle_beta 90.00
_cell_angle_gamma 90.00
_space_group_name_H-M_alt 'P m -3 m'
_space_group_IT_number 221
_space_group_name_Hall '-P 4 2 3'
loop_
_atom_site_label
_atom_site_type_symbol
_atom_site_fract_x
_atom_site_fract_y
_atom_site_fract_z
Cs1 Cs 0.0000 0.0000 0.0000
Rb1 Rb 0.0000 0.5000 0.5000
Y1 Y 0.5000 0.5000 0.5000
# ΔE to the lowest computed polymorph (eV/f.u.): 0.000

Entry 2:
# Cs2Rb2Zn PBE-GGA relaxed
data_Cs2Rb2Zn
_chemical_formula_sum 'Cs4 Rb4 Zn2'
_cell_length_a 10.0530
_cell_length_b 10.0530
_cell_length_c 8.2710
_cell_angle_alpha 90.00
_cell_angle_beta 90.00
_cell_angle_gamma 90.00
_space_group_name_H-M_alt 'P 4/m b m'
_space_group_IT_number 127
_space_group_name_Hall '-P 4 2ab'
loop_
_atom_site_label
_atom_site_type_symbol
_atom_site_fract_x
_atom_site_fract_y
_atom_site_fract_z
Cs1 Cs 0.1815 0.3185 0.0000
Rb1 Rb 0.1618 0.6618 0.5000
Zn1 Zn 0.0000 0.0000 0.5000
# ΔE to the lowest computed polymorph (eV/f.u.): 0.000

Entry 3:
# Cs2RbZn2 PBE-GGA relaxed
data_Cs2RbZn2
_chemical_formula_sum 'Cs4 Rb2 Zn4'
_cell_length_a 6.1572
_cell_length_b 6.1572
_cell_length_c 14.6839
_cell_angle_alpha 90.00
_cell_angle_beta 90.00
_cell_angle_gamma 90.00
_space_group_name_H-M_alt 'I 4/m m m'
_space_group_IT_number 139
_space_group_name_Hall '-I 4 2'
loop_
_atom_site_label
_atom_site_type_symbol
_atom_site_fract_x
_atom_site_fract_y
_atom_site_fract_z
Cs1 Cs 0.0000 0.5000 0.2500
Rb1 Rb 0.0000 0.0000 0.0000
Zn1 Zn 0.0000 0.0000 0.4126
# ΔE to the lowest computed polymorph (eV/f.u.): 0.237

Entry 4:
# CsRb2Zn2 PBE-GGA relaxed
data_CsRb2Zn2
_chemical_formula_sum 'Cs2 Rb4 Zn4'
_cell_length_a 9.6611
_cell_length_b 9.6611
_cell_length_c 5.6400
_cell_angle_alpha 90.00
_cell_angle_beta 90.00
_cell_angle_gamma 90.00
_space_group_name_H-M_alt 'P 4/m b m'
_space_group_IT_number 127
_space_group_name_Hall '-P 4 2ab'
loop_
_atom_site_label
_atom_site_type_symbol
_atom_site_fract_x
_atom_site_fract_y
_atom_site_fract_z
Cs1 Cs 0.0000 0.0000 0.0000
Rb1 Rb 0.1664 0.3336 0.5000
Zn1 Zn 0.0954 0.5954 0.0000
# ΔE to the lowest computed polymorph (eV/f.u.): 0.000

no.,total moment (μB/f.u.),formation energy from the elements (meV per atom)
1,2.94,664
2,0.00,151
3,0.00,179
4,0.00,132